Computed, not measured: crystalline KNdMgS3 at its relaxed geometry at the PBE level of DFT.

Properties
DFT total energy in eV per atom: -4.944
SG: No. 62
M_tot in μB/f.u.: 0.00
E above lowest polymorph in eV per formula unit: 0.00

a = 11.203 Å, b = 4.181 Å, c = 14.153 Å
α = 90.00°, β = 90.00°, γ = 90.00°
Fractional coordinates of all 24 atoms:
Mg: 0.231 0.250 0.217
S: 0.263 0.250 0.813
S: 0.596 0.750 0.883
Nd: 0.484 0.750 0.235
Mg: 0.731 0.250 0.283
S: 0.457 0.750 0.635
S: 0.763 0.250 0.687
Mg: 0.269 0.750 0.717
Nd: 0.516 0.250 0.765
S: 0.237 0.750 0.313
S: 0.543 0.250 0.365
K: 0.788 0.250 0.006
K: 0.288 0.250 0.494
K: 0.712 0.750 0.506
S: 0.096 0.750 0.617
S: 0.957 0.750 0.865
Mg: 0.769 0.750 0.783
S: 0.404 0.250 0.117
K: 0.212 0.750 0.994
S: 0.043 0.250 0.135
Nd: 0.984 0.750 0.265
Nd: 0.016 0.250 0.735
S: 0.737 0.750 0.187
S: 0.904 0.250 0.383

Computed, not measured: crystalline KNdMgS3 at its relaxed geometry at the PBE level of DFT.

Properties
DFT total energy in eV per atom: -4.945
SG: No. 11
M_tot in μB/f.u.: 0.00
E above lowest polymorph in eV per formula unit: 0.00

a = 8.813 Å, b = 4.204 Å, c = 9.835 Å
α = 90.00°, β = 105.08°, γ = 90.00°
Fractional coordinates of all 12 atoms:
S: 0.692 0.750 0.541
K: 0.694 0.250 0.208
S: 0.612 0.250 0.856
S: 0.308 0.250 0.459
Mg: 0.417 0.750 0.394
S: 0.388 0.750 0.144
Mg: 0.583 0.250 0.606
S: 0.047 0.250 0.850
Nd: 0.834 0.750 0.859
K: 0.306 0.750 0.792
Nd: 0.166 0.250 0.141
S: 0.953 0.750 0.150

Computed, not measured: crystalline KNdMgSe3 at its relaxed geometry at the PBE level of DFT.

Properties
DFT total energy in eV per atom: -4.521
SG: No. 11
M_tot in μB/f.u.: 0.00

a = 9.130 Å, b = 4.346 Å, c = 10.167 Å
α = 90.00°, β = 105.61°, γ = 90.00°
Fractional coordinates of all 12 atoms:
Se: 0.603 0.250 0.860
Se: 0.042 0.250 0.842
Se: 0.298 0.250 0.463
Mg: 0.416 0.750 0.394
K: 0.295 0.750 0.776
Se: 0.958 0.750 0.158
Se: 0.397 0.750 0.140
K: 0.705 0.250 0.224
Mg: 0.584 0.250 0.606
Nd: 0.172 0.250 0.137
Nd: 0.828 0.750 0.863
Se: 0.702 0.750 0.537

Computed, not measured: crystalline KNdMgTe3 at its relaxed geometry at the PBE level of DFT.

Properties
DFT total energy in eV per atom: -4.018
SG: No. 11
M_tot in μB/f.u.: 0.00

a = 9.709 Å, b = 4.593 Å, c = 10.782 Å
α = 90.00°, β = 106.53°, γ = 90.00°
Fractional coordinates of all 12 atoms:
Nd: 0.325 0.750 0.365
Mg: 0.083 0.250 0.107
Nd: 0.675 0.250 0.635
K: 0.789 0.750 0.265
Mg: 0.917 0.750 0.893
Te: 0.214 0.750 0.036
Te: 0.461 0.750 0.665
Te: 0.096 0.250 0.366
K: 0.211 0.250 0.735
Te: 0.904 0.750 0.634
Te: 0.539 0.250 0.335
Te: 0.786 0.250 0.964

Computed, not measured: crystalline KMgNiSb at its relaxed geometry at the PBE level of DFT.

Properties
DFT total energy in eV per atom: -2.880
SG: No. 216
M_tot in μB/f.u.: 0.00
E above lowest polymorph in eV per formula unit: 0.00

a = 4.964 Å, b = 4.964 Å, c = 4.964 Å
α = 60.00°, β = 60.00°, γ = 60.00°
Fractional coordinates of all 4 atoms:
Sb: 0.000 0.000 0.000
Mg: 0.750 0.750 0.750
K: 0.500 0.500 0.500
Ni: 0.250 0.250 0.250

Computed, not measured: crystalline KMgNiSb at its relaxed geometry at the PBE level of DFT.

Properties
DFT total energy in eV per atom: -2.776
SG: No. 216
M_tot in μB/f.u.: 0.45
E above lowest polymorph in eV per formula unit: 0.42

a = 5.106 Å, b = 5.106 Å, c = 5.106 Å
α = 60.00°, β = 60.00°, γ = 60.00°
Fractional coordinates of all 4 atoms:
K: 0.250 0.250 0.250
Ni: 0.500 0.500 0.500
Mg: 0.750 0.750 0.750
Sb: 0.000 0.000 0.000